SrLiCu2 | Alexandria via LeMat-Bulk | PBE-GGA | optimized geometry; final energy = -22.83 eV/cell; symmetry = Immm, No. 71; ΔH_f (0 K) = 0.0937 eV per atom
1.0
4.6407 0.0000 0.0000
0.0000 5.5592 0.0000
0.0000 0.0000 6.9299
Sr Li Cu
2 2 4
Direct
0.0000 0.0000 0.0000 Sr
0.5000 0.5000 0.5000 Sr
0.0000 0.0000 0.5000 Li
0.5000 0.5000 0.0000 Li
0.0000 0.5000 0.1820 Cu
0.0000 0.5000 0.8180 Cu
0.5000 0.0000 0.3180 Cu
0.5000 0.0000 0.6820 Cu